No. 1
Computed, not measured: a relaxed structure of TbPrPuIn at the PBE-GGA level of DFT.

```
data_TbPrPuIn
_chemical_formula_sum 'Tb4 Pr4 Pu4 In4'
_space_group_name_H-M_alt 'F -4 3 m'
_space_group_IT_number 216
_space_group_name_Hall 'F -4 2 3'
_cell_length_a 7.796
_cell_length_b 7.796
_cell_length_c 7.796
_cell_angle_alpha 90.00
_cell_angle_beta 90.00
_cell_angle_gamma 90.00
loop_
_atom_site_label
_atom_site_fract_x
_atom_site_fract_y
_atom_site_fract_z
Tb1 0.000 0.000 0.000
Pr1 0.250 0.250 0.750
Pu1 0.250 0.250 0.250
In1 0.000 0.000 0.500
```



No. 2
Computed, not measured: a relaxed structure of PrPuIn2Te4 at the PBE-GGA level of DFT.

```
data_PrPuIn2Te4
_chemical_formula_sum 'Pr1 Pu1 In2 Te4'
_space_group_name_H-M_alt 'P 1 2/m 1'
_space_group_IT_number 10
_cell_length_a 7.810
_cell_length_b 4.508
_cell_length_c 8.491
_cell_angle_alpha 90.00
_cell_angle_beta 107.87
_cell_angle_gamma 90.00
loop_
_space_group_symop_operation_xyz
'x,y,z'
'-x,-y,-z'
'-x,y,-z'
'x,-y,z'
loop_
_atom_site_label
_atom_site_fract_x
_atom_site_fract_y
_atom_site_fract_z
Pr1 0.000 0.000 0.000
Pu1 0.500 0.500 0.000
In1 0.000 0.500 0.500
In2 0.500 0.000 0.500
Te1 0.247 0.500 0.228
Te2 0.265 0.000 0.777
```

Computed properties:
**Formation energy from raw total energies**: -6.72 eV per formula unit



No. 3
Computed, not measured: a relaxed structure of PrPuTlIn at the PBE-GGA level of DFT.

```
data_PrPuTlIn
_chemical_formula_sum 'Pr4 Pu4 Tl4 In4'
_space_group_name_H-M_alt 'F -4 3 m'
_space_group_IT_number 216
_space_group_name_Hall 'F -4 2 3'
_cell_length_a 7.752
_cell_length_b 7.752
_cell_length_c 7.752
_cell_angle_alpha 90.00
_cell_angle_beta 90.00
_cell_angle_gamma 90.00
loop_
_atom_site_label
_atom_site_fract_x
_atom_site_fract_y
_atom_site_fract_z
Pr1 0.000 0.000 0.000
Pu1 0.000 0.000 0.500
Tl1 0.250 0.250 0.750
In1 0.250 0.250 0.250
```



No. 4
Computed, not measured: a relaxed structure of Rb4Pr3InS8 at the PBE-GGA level of DFT.

```
data_Rb4Pr3InS8
_chemical_formula_sum 'Rb12 Pr9 In3 S24'
_space_group_name_H-M_alt 'R -3 m'
_space_group_IT_number 166
_space_group_name_Hall '-R 3 2"'
_cell_length_a 8.3821
_cell_length_b 8.3821
_cell_length_c 23.2043
_cell_angle_alpha 90.00
_cell_angle_beta 90.00
_cell_angle_gamma 120.00
loop_
_atom_site_label
_atom_site_fract_x
_atom_site_fract_y
_atom_site_fract_z
Rb1 0.0000 0.0000 0.0000
Rb2 0.0000 0.5000 0.0000
Pr1 0.0000 0.5000 0.5000
In1 0.0000 0.0000 0.5000
S1 0.0000 0.0000 0.2333
S2 0.0132 0.5066 0.2318
```

Computed properties:
**Formation energy from raw total energies**: -24.69 eV per formula unit



No. 5
Computed, not measured: a relaxed structure of Rb3Pr2InS6 at the PBE-GGA level of DFT.

```
data_Rb3Pr2InS6
_chemical_formula_sum 'Rb6 Pr4 In2 S12'
_space_group_name_H-M_alt 'C 1 2/m 1'
_space_group_IT_number 12
_cell_length_a 7.216
_cell_length_b 12.500
_cell_length_c 8.101
_cell_angle_alpha 90.00
_cell_angle_beta 107.33
_cell_angle_gamma 90.00
loop_
_space_group_symop_operation_xyz
'x,y,z'
'-x,-y,-z'
'-x,y,-z'
'x,-y,z'
'x+1/2,y+1/2,z'
'-x+1/2,-y+1/2,-z'
'-x+1/2,y+1/2,-z'
'x+1/2,-y+1/2,z'
loop_
_atom_site_label
_atom_site_fract_x
_atom_site_fract_y
_atom_site_fract_z
Rb1 0.000 0.000 0.000
Rb2 0.000 0.332 0.000
Pr1 0.000 0.166 0.500
In1 0.000 0.500 0.500
S1 0.224 0.341 0.695
S2 0.247 0.000 0.696
```

Computed properties:
**Formation energy from raw total energies**: -17.53 eV per formula unit



No. 6
Computed, not measured: a relaxed structure of RbPrInSe3 at the PBE-GGA level of DFT.

```
data_RbPrInSe3
_chemical_formula_sum 'Rb2 Pr2 In2 Se6'
_space_group_name_H-M_alt 'P 1 21/m 1'
_space_group_IT_number 11
_cell_length_a 9.149
_cell_length_b 4.781
_cell_length_c 10.354
_cell_angle_alpha 90.00
_cell_angle_beta 106.72
_cell_angle_gamma 90.00
loop_
_space_group_symop_operation_xyz
'x,y,z'
'-x,-y,-z'
'-x,y+1/2,-z'
'x,-y+1/2,z'
loop_
_atom_site_label
_atom_site_fract_x
_atom_site_fract_y
_atom_site_fract_z
Rb1 0.212 0.250 0.233
Pr1 0.333 0.750 0.864
In1 0.110 0.250 0.596
Se1 0.110 0.250 0.855
Se2 0.223 0.750 0.545
Se3 0.467 0.750 0.154
```

Computed properties:
**Formation energy from raw total energies**: -7.14 eV per formula unit



| no. | magnetic moment (μB/cell) | energy (eV per atom) |
| --- | --- | --- |
| 1 | 27.2 | -6.622 |
| 2 | 5.1 | -5.485 |
| 3 | 25.2 | -6.255 |
| 4 | 0.0 | -4.916 |
| 5 | 0.0 | -4.791 |
| 6 | 0.0 | -4.347 |